(A)
5
Lattice="-4.2450 0.5022 -1.2092 1.0538 -1.1247 -4.1664 -0.7771 -4.2681 0.9556" Properties=species:S:1:pos:R:3 comment="SrOs3F, relaxed, DFT GGA-PBE" dos_at_fermi_per_ev_fu=8.3 total_magnetization_mub_per_cell=0.6 sg="No. 221" pbc="T T T"
Sr -1.9842 -2.4453 -2.2100
Os 0.5269 -0.5623 -2.0832
Os -0.3886 -2.1341 0.4778
Os -2.1225 0.2511 -0.6046
F 0.0000 0.0000 0.0000

=====

(B)
5
Lattice="-3.6798 -3.4383 -0.7246 3.4069 -3.7480 0.4833 -0.8603 -0.1357 5.0129" Properties=species:S:1:pos:R:3 comment="SrOs3F, relaxed, DFT GGA-PBE" dos_at_fermi_per_ev_fu=5.1 total_magnetization_mub_per_cell=6.9 sg="No. 221" pbc="T T T"
Sr 0.0000 0.0000 0.0000
Os 1.7035 -1.8740 0.2416
Os -0.4302 -0.0678 2.5065
Os -1.8399 -1.7192 -0.3623
F -0.5666 -3.6610 2.3858

=====

Most favorable first, least favorable last: (A), (B)

=====

(A)
5
Lattice="4.8732 0.0000 0.0000 0.0000 4.8732 0.0000 0.0000 0.0000 4.8732" Properties=species:S:1:pos:R:3 comment="Ta3OsF, relaxed, DFT GGA-PBE" dos_at_fermi_per_ev_fu=2.9 total_magnetization_mub_per_cell=0.0 sg="No. 221" pbc="T T T"
F 2.4366 2.4366 2.4366
Os 0.0000 0.0000 0.0000
Ta 0.0000 2.4366 0.0000
Ta 0.0000 0.0000 2.4366
Ta 2.4366 0.0000 0.0000

=====

(B)
5
Lattice="-3.4187 1.5640 2.0110 -0.5331 -3.7302 1.9947 2.4912 1.3480 3.1866" Properties=species:S:1:pos:R:3 comment="Ta3OsF, relaxed, DFT GGA-PBE" dos_at_fermi_per_ev_fu=4.6 total_magnetization_mub_per_cell=0.0 sg="No. 221" pbc="T T T"
F 0.0000 0.0000 0.0000
Os -0.7303 -0.4091 3.5962
Ta -0.2666 -1.8651 0.9973
Ta 1.2456 0.6740 1.5933
Ta -1.7093 0.7820 1.0055

=====

Most favorable first, least favorable last: (B), (A)

=====

(A)
4
Lattice="-9.4688 0.2762 3.6775 -8.2652 -0.5327 5.8874 -8.4071 2.0468 5.3281" Properties=species:S:1:pos:R:3 comment="TcOsF2, relaxed, DFT GGA-PBE" dos_at_fermi_per_ev_fu=2.8 total_magnetization_mub_per_cell=1.0 sg="No. 166" pbc="T T T"
Os -13.0706 0.8951 7.4465
Tc 0.0000 0.0000 0.0000
F -24.5034 1.6781 13.9599
F -1.6377 0.1122 0.9330

=====

(B)
4
Lattice="0.0000 3.0048 3.0048 3.0048 0.0000 3.0048 3.0048 3.0048 0.0000" Properties=species:S:1:pos:R:3 comment="TcOsF2, relaxed, DFT GGA-PBE" dos_at_fermi_per_ev_fu=5.0 total_magnetization_mub_per_cell=6.2 sg="No. 225" pbc="T T T"
Os 3.0048 3.0048 3.0048
Tc 0.0000 0.0000 0.0000
F 1.5024 1.5024 1.5024
F 4.5072 4.5072 4.5072

=====

Most favorable first, least favorable last: (A), (B)

=====

(A)
4
Lattice="-3.2645 -7.3735 2.0270 -0.9438 -7.5789 3.2869 -2.9815 -6.3555 4.4557" Properties=species:S:1:pos:R:3 comment="TcOsF2, relaxed, DFT GGA-PBE" dos_at_fermi_per_ev_fu=4.5 total_magnetization_mub_per_cell=0.0 sg="No. 166" pbc="T T T"
Os 0.0000 0.0000 0.0000
Tc -3.5949 -10.6539 4.8848
F -6.5983 -19.5547 8.9657
F -0.5916 -1.7532 0.8038

=====

(B)
8
Lattice="-2.1678 0.9472 2.6537 -1.5480 -3.1980 -0.1230 3.4671 -3.9085 6.6087" Properties=species:S:1:pos:R:3 comment="TcOsF2, relaxed, DFT GGA-PBE" dos_at_fermi_per_ev_fu=3.2 total_magnetization_mub_per_cell=0.0 sg="No. 122" pbc="T T T"
Os 0.0000 0.0000 0.0000
Os -0.2793 -2.0433 5.2639
Tc -1.8579 -1.1254 1.2653
Tc 0.0306 -4.1160 3.8755
F -0.6810 -0.7851 3.2946
F -0.3723 -2.8572 1.9077
F 1.2065 -3.7763 5.9055
F -0.6505 -4.8999 7.1709

=====

Most favorable first, least favorable last: (A), (B)

=====

(A)
8
Lattice="-0.5197 -2.3588 -5.8310 4.3311 -4.3770 1.3846 -0.1759 -5.1420 -1.3200" Properties=species:S:1:pos:R:3 comment="Tc2OsF, relaxed, DFT GGA-PBE" dos_at_fermi_per_ev_fu=5.3 total_magnetization_mub_per_cell=0.0 sg="No. 122" pbc="T T T"
Os 0.0000 0.0000 0.0000
Os 0.6051 -5.4343 -4.6871
Tc 0.1866 -3.2434 -3.6446
Tc 2.5840 -4.3794 -0.3502
Tc 1.4137 -6.5000 -2.6202
Tc 3.0866 -9.6327 -4.9178
F 1.9057 -3.3679 -2.2232
F 3.0304 -6.4435 -1.0793

=====

(B)
4
Lattice="-2.7837 -2.3026 2.2632 -3.7998 -0.9861 -1.6620 -0.8545 -4.0214 -1.1275" Properties=species:S:1:pos:R:3 comment="Tc2OsF, relaxed, DFT GGA-PBE" dos_at_fermi_per_ev_fu=5.6 total_magnetization_mub_per_cell=0.0 sg="No. 225" pbc="T T T"
Os -3.7190 -3.6550 -0.2631
Tc -1.8595 -1.8275 -0.1316
Tc -5.5785 -5.4825 -0.3947
F 0.0000 0.0000 0.0000

=====

Most favorable first, least favorable last: (B), (A)

=====

(A)
5
Lattice="4.7106 0.0000 0.0000 0.0000 4.7106 0.0000 0.0000 0.0000 4.7106" Properties=species:S:1:pos:R:3 comment="TcOs3F, relaxed, DFT GGA-PBE" dos_at_fermi_per_ev_fu=5.2 total_magnetization_mub_per_cell=4.1 sg="No. 221" pbc="T T T"
Os 0.0000 2.3553 0.0000
Os 0.0000 0.0000 2.3553
Os 2.3553 0.0000 0.0000
Tc 0.0000 0.0000 0.0000
F 2.3553 2.3553 2.3553

=====

(B)
5
Lattice="-0.5693 -3.4992 2.1815 4.1115 -0.6496 0.0311 0.3143 2.1589 3.5450" Properties=species:S:1:pos:R:3 comment="TcOs3F, relaxed, DFT GGA-PBE" dos_at_fermi_per_ev_fu=10.8 total_magnetization_mub_per_cell=0.0 sg="No. 221" pbc="T T T"
Os 2.0557 -0.3248 0.0155
Os 0.1572 1.0795 1.7725
Os -0.2847 -1.7496 1.0907
Tc 1.9282 -0.9949 2.8788
F 0.0000 0.0000 0.0000

=====

Most favorable first, least favorable last: (B), (A)

=====

(A)
5
Lattice="4.1330 0.0000 0.0000 0.0000 4.1330 0.0000 0.0000 0.0000 4.1330" Properties=species:S:1:pos:R:3 comment="TcOsF3, relaxed, DFT GGA-PBE" dos_at_fermi_per_ev_fu=5.7 total_magnetization_mub_per_cell=6.2 sg="No. 221" pbc="T T T"
Os 2.0665 2.0665 2.0665
Tc 0.0000 0.0000 0.0000
F 0.0000 2.0665 0.0000
F 0.0000 0.0000 2.0665
F 2.0665 0.0000 0.0000

=====

(B)
5
Lattice="4.2352 0.0000 0.0000 0.0000 4.2352 0.0000 0.0000 0.0000 4.2352" Properties=species:S:1:pos:R:3 comment="TcOsF3, relaxed, DFT GGA-PBE" dos_at_fermi_per_ev_fu=5.4 total_magnetization_mub_per_cell=4.7 sg="No. 221" pbc="T T T"
Os 0.0000 0.0000 0.0000
Tc 2.1176 2.1176 2.1176
F 0.0000 2.1176 0.0000
F 0.0000 0.0000 2.1176
F 2.1176 0.0000 0.0000

=====

Most favorable first, least favorable last: (B), (A)

=====

(A)
8
Lattice="-1.5259 -4.5033 -4.7923 3.3319 -4.7708 3.4223 -1.4070 -5.2856 0.6599" Properties=species:S:1:pos:R:3 comment="TeOs2F, relaxed, DFT GGA-PBE" dos_at_fermi_per_ev_fu=6.4 total_magnetization_mub_per_cell=0.0 sg="No. 122" pbc="T T T"
Te 0.0000 0.0000 0.0000
Te -1.0150 -7.2130 -2.4087
Os -0.8308 -4.5606 -2.2197
Os 1.4817 -5.0378 1.5221
Os -0.2510 -7.6239 0.1117
Os 0.3979 -11.8971 -0.8344
F 0.9030 -4.6371 -0.6850
F 1.4139 -7.3467 1.6986

=====

(B)
4
Lattice="0.0000 3.1010 3.1010 3.1010 0.0000 3.1010 3.1010 3.1010 0.0000" Properties=species:S:1:pos:R:3 comment="TeOs2F, relaxed, DFT GGA-PBE" dos_at_fermi_per_ev_fu=4.0 total_magnetization_mub_per_cell=0.0 sg="No. 225" pbc="T T T"
Te 3.1010 3.1010 3.1010
Os 1.5505 1.5505 1.5505
Os 4.6515 4.6515 4.6515
F 0.0000 0.0000 0.0000

=====

Most favorable first, least favorable last: (B), (A)

=====

(A)
5
Lattice="4.7791 0.0000 0.0000 0.0000 4.7791 0.0000 0.0000 0.0000 4.7791" Properties=species:S:1:pos:R:3 comment="Te3OsF, relaxed, DFT GGA-PBE" dos_at_fermi_per_ev_fu=5.4 total_magnetization_mub_per_cell=0.0 sg="No. 221" pbc="T T T"
Te 0.0000 2.3896 0.0000
Te 0.0000 0.0000 2.3896
Te 2.3896 0.0000 0.0000
Os 2.3896 2.3896 2.3896
F 0.0000 0.0000 0.0000

=====

(B)
5
Lattice="-4.1651 -3.0349 -0.6792 0.9100 -2.2749 4.5844 -2.9738 3.5545 2.3542" Properties=species:S:1:pos:R:3 comment="Te3OsF, relaxed, DFT GGA-PBE" dos_at_fermi_per_ev_fu=6.9 total_magnetization_mub_per_cell=0.0 sg="No. 221" pbc="T T T"
Te 0.4550 -1.1375 2.2922
Te -1.4869 1.7772 1.1771
Te -2.0826 -1.5174 -0.3396
Os 0.0000 0.0000 0.0000
F -3.1145 -0.8776 3.1297

=====

Most favorable first, least favorable last: (B), (A)

=====

(A)
10
Lattice="7.1371 0.0000 0.0000 0.0000 7.1371 0.0000 0.0000 0.0000 2.7645" Properties=species:S:1:pos:R:3 comment="TiOs2F2, relaxed, DFT GGA-PBE" dos_at_fermi_per_ev_fu=2.3 total_magnetization_mub_per_cell=0.0 sg="No. 127" pbc="T T T"
F 1.9971 5.5656 0.0000
F 5.5656 5.1400 0.0000
F 5.1400 1.5715 0.0000
F 1.5715 1.9971 0.0000
Os 0.7945 4.3630 1.3823
Os 4.3630 6.3426 1.3823
Os 6.3426 2.7741 1.3823
Os 2.7741 0.7945 1.3823
Ti 0.0000 0.0000 0.0000
Ti 3.5685 3.5685 0.0000

=====

(B)
5
Lattice="3.9587 0.0000 0.0000 0.0000 3.9587 0.0000 1.9794 1.9794 4.3696" Properties=species:S:1:pos:R:3 comment="TiOs2F2, relaxed, DFT GGA-PBE" dos_at_fermi_per_ev_fu=4.3 total_magnetization_mub_per_cell=0.0 sg="No. 139" pbc="T T T"
F 1.9794 1.9794 1.0340
F 3.9587 3.9587 3.3356
Os 3.9587 1.9794 2.1848
Os 1.9794 3.9587 2.1848
Ti 0.0000 0.0000 0.0000

=====

Most favorable first, least favorable last: (A), (B)

=====

(A)
4
Lattice="0.0000 3.0297 3.0297 3.0297 0.0000 3.0297 3.0297 3.0297 0.0000" Properties=species:S:1:pos:R:3 comment="TiOs2F, relaxed, DFT GGA-PBE" dos_at_fermi_per_ev_fu=3.7 total_magnetization_mub_per_cell=0.0 sg="No. 225" pbc="T T T"
F 0.0000 0.0000 0.0000
Os 1.5149 1.5149 1.5149
Os 4.5446 4.5446 4.5446
Ti 3.0297 3.0297 3.0297

=====

(B)
8
Lattice="-6.6874 1.8207 1.7115 0.3694 -4.1158 5.8214 -2.3624 0.6386 4.9788" Properties=species:S:1:pos:R:3 comment="TiOs2F, relaxed, DFT GGA-PBE" dos_at_fermi_per_ev_fu=6.3 total_magnetization_mub_per_cell=0.0 sg="No. 122" pbc="T T T"
F -3.1590 -1.1476 3.7665
F -2.5761 -2.3124 7.2834
Os -4.3344 0.6770 2.9424
Os -1.5854 -2.0791 5.1968
Os -4.1196 -0.6216 6.8982
Os -7.3217 -1.2895 9.9862
Ti 0.0000 0.0000 0.0000
Ti -6.1045 0.6559 5.2284

=====

Most favorable first, least favorable last: (B), (A)

=====

(A)
4
Lattice="-2.2735 -3.4916 -1.2181 -3.7964 0.4879 -2.0478 -0.3413 -1.0080 -4.2085" Properties=species:S:1:pos:R:3 comment="Ti2OsF, relaxed, DFT GGA-PBE" dos_at_fermi_per_ev_fu=5.9 total_magnetization_mub_per_cell=0.0 sg="No. 225" pbc="T T T"
F 0.0000 0.0000 0.0000
Os -3.2056 -2.0059 -3.7372
Ti -1.6028 -1.0029 -1.8686
Ti -4.8084 -3.0088 -5.6059

=====

(B)
8
Lattice="-1.7177 -3.8139 4.3591 5.7839 -1.3705 1.0799 2.1980 -0.1863 4.8895" Properties=species:S:1:pos:R:3 comment="Ti2OsF, relaxed, DFT GGA-PBE" dos_at_fermi_per_ev_fu=5.3 total_magnetization_mub_per_cell=0.0 sg="No. 122" pbc="T T T"
F 2.0331 -2.5922 2.7195
F 5.0075 -2.0746 4.3445
Os 0.0000 0.0000 0.0000
Os 1.2568 -3.2963 5.9840
Ti 0.2957 -2.3869 3.8363
Ti 3.8530 -1.5947 2.6877
Ti 3.4990 -2.1611 5.7676
Ti 4.8808 -4.5990 8.3655

=====

Most favorable first, least favorable last: (B), (A)